Below is a relaxed V2CrRhO8 crystal, with properties calculated at the PBE+U level.

Properties
E_tot   -87.56 eV/f.u.

```
data_V2CrRhO8
_space_group_name_H-M_alt 'P -3 m 1'
_space_group_IT_number 164
_space_group_name_Hall '-P 3 2"'
_cell_length_a 5.6768
_cell_length_b 5.6768
_cell_length_c 5.5259
_cell_angle_alpha 90.00
_cell_angle_beta 90.00
_cell_angle_gamma 120.00
loop_
_atom_site_label
_atom_site_fract_x
_atom_site_fract_y
_atom_site_fract_z
_atom_site_occupancy
V1 0.3333 0.6667 0.1801 1
Cr1 0.0000 0.0000 0.0000 1
Rh1 0.0000 0.0000 0.5000 1
O1 0.1530 0.3060 0.2498 1
O2 0.3333 0.6667 0.8876 1
```